[1]
RbZrPb2W: optimized geometry, PBE.

Lattice parameters (Å, degrees): 5.5803 5.5803 5.5867 90.00 90.00 90.00
Last column: nearest neighbours and their distance in Å.
Space group P4/mmm (No. 123)
Symmetry-distinct sites (fractional):
Rb 0.0000 0.0000 0.0000 (multiplicity 1)  4 Zr 3.95, 8 Pb 3.95
Zr 0.5000 0.5000 0.0000 (multiplicity 1)  2 W 2.79
Pb 0.0000 0.5000 0.5000 (multiplicity 2)  2 W 2.79
W 0.5000 0.5000 0.5000 (multiplicity 1)  4 Pb 2.79, 2 Zr 2.79

Computed properties:
**VASP energy**: -5.29 eV/atom

[2]
Np2GaB2Ir5: optimized geometry, PBE.

Lattice parameters (Å, degrees): 9.4842 9.4842 3.3085 90.00 90.00 90.00
Last column: nearest neighbours and their distance in Å.
Space group P4/mbm (No. 127)
Symmetry-distinct sites (fractional):
Np 0.1779 0.3221 0.0000 (multiplicity 4)  3 B 2.70-2.89, 6 Ir 2.90-2.94
Ga 0.0000 0.0000 0.0000 (multiplicity 2)  8 Ir 2.73
B 0.1211 0.6211 0.0000 (multiplicity 4)  6 Ir 2.30-2.32
Ir 0.0000 0.5000 0.5000 (multiplicity 2)  4 B 2.32
Ir 0.0685 0.7815 0.5000 (multiplicity 8)  2 B 2.30

Computed properties:
**VASP energy**: -9.03 eV/atom

[3]
Ac2TaFe2N6: optimized geometry, PBE.

Lattice parameters (Å, degrees): 5.7787 5.7787 16.1178 90.00 90.00 120.00
Last column: nearest neighbours and their distance in Å.
Space group R-3m (No. 166, hexagonal axes)
Symmetry-distinct sites (fractional):
Ac 0.0000 0.0000 0.2343 (multiplicity 6)  9 N 2.91-3.02
Ta 0.0000 0.0000 0.0000 (multiplicity 3)  6 N 2.07
Fe 0.0000 0.0000 0.4369 (multiplicity 6)  3 N 1.74
N 0.0032 0.5016 0.7440 (multiplicity 18)  1 Fe 1.74

Computed properties:
**VASP energy**: -8.58 eV/atom

[4]
ZnCd4Hg6: optimized geometry, PBE.

Lattice parameters (Å, degrees): 11.5159 11.5159 14.4280 90.00 90.00 120.00
Last column: nearest neighbours and their distance in Å.
Space group R-3c (No. 167, hexagonal axes)
Symmetry-distinct sites (fractional):
Zn 0.0000 0.0000 0.0000 (multiplicity 6)  6 Hg 2.86
Cd 0.0000 0.0000 0.2500 (multiplicity 6)  6 Hg 3.03
Cd 0.0000 0.4020 0.2500 (multiplicity 18)  8 Hg 3.07-3.17
Hg 0.0415 0.2197 0.3847 (multiplicity 36)  1 Zn 2.86, 5 Cd 3.03-3.17, 1 Hg 3.13

Computed properties:
**VASP energy**: -0.56 eV/atom

[5]
MgNbRh5: optimized geometry, PBE.

Lattice parameters (Å, degrees): 3.9319 3.9319 7.4755 90.00 90.00 90.00
Last column: nearest neighbours and their distance in Å.
Space group P4/mmm (No. 123)
Symmetry-distinct sites (fractional):
Mg 0.0000 0.0000 0.0000 (multiplicity 1)  8 Rh 2.72
Nb 0.5000 0.5000 0.5000 (multiplicity 1)  12 Rh 2.70-2.78
Rh 0.0000 0.0000 0.5000 (multiplicity 1)  8 Rh 2.70, 4 Nb 2.78
Rh 0.0000 0.5000 0.2522 (multiplicity 4)  2 Nb 2.70, 6 Rh 2.70-2.78, 2 Mg 2.72

Computed properties:
**VASP energy**: -7.09 eV/atom

[6]
Li6AcZn4: optimized geometry, PBE.

Lattice parameters (Å, degrees): 7.5174 7.5174 4.3516 90.00 90.00 120.00
Last column: nearest neighbours and their distance in Å.
Space group P-6m2 (No. 187)
Symmetry-distinct sites (fractional):
Li 0.2016 0.4032 0.0000 (multiplicity 3)  5 Zn 2.63-2.73
Li 0.2509 0.1255 0.5000 (multiplicity 3)  4 Zn 2.72-2.73, 2 Li 2.83
Ac 0.6667 0.3333 0.0000 (multiplicity 1)  12 Li 3.47-3.79, 6 Zn 3.52
Zn 0.0000 0.0000 0.0000 (multiplicity 1)  9 Li 2.63-2.72
Zn 0.0908 0.5454 0.5000 (multiplicity 3)  6 Li 2.73, 2 Zn 2.73

Computed properties:
**VASP energy**: -1.99 eV/atom

Q: VASP energy of number 5 (MgNbRh5)?
A: -7.09 eV/atom

Q: What is the VASP energy in the first record?
A: -5.29 eV/atom

Please write out number 2 again, unchanged.
Np2GaB2Ir5: optimized geometry, PBE.

Lattice parameters (Å, degrees): 9.4842 9.4842 3.3085 90.00 90.00 90.00
Last column: nearest neighbours and their distance in Å.
Space group P4/mbm (No. 127)
Symmetry-distinct sites (fractional):
Np 0.1779 0.3221 0.0000 (multiplicity 4)  3 B 2.70-2.89, 6 Ir 2.90-2.94
Ga 0.0000 0.0000 0.0000 (multiplicity 2)  8 Ir 2.73
B 0.1211 0.6211 0.0000 (multiplicity 4)  6 Ir 2.30-2.32
Ir 0.0000 0.5000 0.5000 (multiplicity 2)  4 B 2.32
Ir 0.0685 0.7815 0.5000 (multiplicity 8)  2 B 2.30

Computed properties:
**VASP energy**: -9.03 eV/atom

Q: What is the formula in the sixth record?
A: Li6AcZn4